VASP calculation (GGA-PBE) on Tm2MnBe after structural relaxation.

* ΔH_f (0 K): 118 meV per atom
* magnetization: 3.0 μB/cell
* DOS at the Fermi energy: 0.967 states/eV per atom
* symmetry: No. 123

Unit cell a=3.3882 b=3.3882 c=6.8994 alpha=90.00 beta=90.00 gamma=90.00
Last column: nearest neighbours and their distance in Å.
Fractional positions:
Be  0.5000  0.5000  0.0000  8 Tm 2.91
Tm  0.0000  0.0000  0.7601  4 Be 2.91, 4 Mn 2.99
Tm  0.0000  0.0000  0.2399  4 Be 2.91, 4 Mn 2.99
Mn  0.5000  0.5000  0.5000  8 Tm 2.99



VASP calculation (GGA-PBE) on UMnBe after structural relaxation.

* ΔH_f (0 K): 601 meV per atom
* magnetization: 1.6 μB/cell
* DOS at the Fermi energy: 1.600 states/eV per atom
* symmetry: No. 139

Unit cell a=3.4590 b=3.4590 c=9.0095 alpha=101.07 beta=101.07 gamma=90.00
Last column: nearest neighbours and their distance in Å.
Fractional positions:
Be  0.0581  0.0581  0.1162  1 Be 2.02, 1 Mn 2.10
Be  0.9419  0.9419  0.8838  1 Be 2.02, 1 Mn 2.10
U  0.6475  0.6475  0.2950  4 Mn 2.51
U  0.3525  0.3525  0.7050  4 Mn 2.51
Mn  0.8208  0.8208  0.6417  1 Be 2.10
Mn  0.1792  0.1792  0.3583  1 Be 2.10



VASP calculation (GGA-PBE) on UMnBe4 after structural relaxation.

* ΔH_f (0 K): 182 meV per atom
* magnetization: 1.0 μB/cell
* DOS at the Fermi energy: 1.270 states/eV per atom
* symmetry: No. 216

Unit cell a=4.6169 b=4.6169 c=4.6169 alpha=60.00 beta=60.00 gamma=60.00
Last column: nearest neighbours and their distance in Å.
Fractional positions:
Be  0.6275  0.6275  0.1176  6 Be 2.26-2.35
Be  0.6275  0.1176  0.6275  6 Be 2.26-2.35
Be  0.6275  0.6275  0.6275  6 Be 2.26-2.35
Be  0.1176  0.6275  0.6275  6 Be 2.26-2.35
Mn  0.0000  0.0000  0.0000  12 Be 2.70, 4 U 2.83
U  0.2500  0.2500  0.2500  12 Be 2.71, 4 Mn 2.83



VASP calculation (GGA-PBE) on U2MnBe after structural relaxation.

* ΔH_f (0 K): 738 meV per atom
* magnetization: 0.0 μB/cell
* DOS at the Fermi energy: 1.689 states/eV per atom
* symmetry: No. 166

Unit cell a=2.8256 b=2.8256 c=10.0603 alpha=81.93 beta=81.93 gamma=60.00
Last column: nearest neighbours and their distance in Å.
Fractional positions:
Be  0.0000  0.0000  0.0000  2 U 2.78, 6 Be 2.83
Mn  0.5000  0.5000  0.5000  6 U 2.73, 6 Mn 2.83
U  0.0933  0.0933  0.7202  3 Mn 2.73, 1 Be 2.78, 6 U 2.83
U  0.9067  0.9067  0.2798  3 Mn 2.73, 1 Be 2.78, 6 U 2.83



VASP calculation (GGA-PBE) on UMnBe after structural relaxation.

* ΔH_f (0 K): 149 meV per atom
* magnetization: 0.2 μB/cell
* DOS at the Fermi energy: 1.404 states/eV per atom
* symmetry: No. 107

Unit cell a=2.8584 b=2.8584 c=5.4118 alpha=105.31 beta=105.31 gamma=90.00
Last column: nearest neighbours and their distance in Å.
Fractional positions:
Be  0.3002  0.3002  0.6005  4 Mn 2.30
Mn  0.6907  0.6907  0.3813  4 Be 2.30
U  0.0091  0.0091  0.0182  4 Mn 2.72, 4 U 2.86, 5 Be 2.91-2.92



VASP calculation (GGA-PBE) on MnBeV2 after structural relaxation.

* ΔH_f (0 K): -114 meV per atom
* magnetization: 0.0 μB/cell
* DOS at the Fermi energy: 0.693 states/eV per atom
* symmetry: No. 123

Unit cell a=2.8955 b=2.8955 c=5.4320 alpha=90.00 beta=90.00 gamma=90.00
Last column: nearest neighbours and their distance in Å.
Fractional positions:
Be  0.5000  0.5000  0.0000  8 V 2.44, 2 Mn 2.72
Mn  0.5000  0.5000  0.5000  8 V 2.47, 2 Be 2.72
V  0.0000  0.0000  0.7546  4 Be 2.44, 4 Mn 2.47, 1 V 2.67
V  0.0000  0.0000  0.2454  4 Be 2.44, 4 Mn 2.47, 1 V 2.67



VASP calculation (GGA-PBE) on MnBe9V2 after structural relaxation.

* ΔH_f (0 K): -154 meV per atom
* magnetization: 1.6 μB/cell
* DOS at the Fermi energy: 0.425 states/eV per atom
* symmetry: No. 166

Unit cell a=4.2872 b=4.2872 c=7.2361 alpha=72.77 beta=72.77 gamma=60.00
Last column: nearest neighbours and their distance in Å.
Fractional positions:
Mn  0.0000  0.0000  0.0000  18 Be 2.48-2.73
Be  0.6656  0.6656  0.0031  6 Be 2.09-2.10
Be  0.3344  0.3344  0.9969  6 Be 2.09-2.10
Be  0.5000  0.5000  0.5000  6 Be 2.12
Be  0.4154  0.4154  0.2486  7 Be 2.09-2.17
Be  0.9206  0.4154  0.2486  7 Be 2.09-2.17
Be  0.4154  0.9206  0.2486  7 Be 2.09-2.17
Be  0.5846  0.5846  0.7514  7 Be 2.09-2.17
Be  0.5846  0.0794  0.7514  7 Be 2.09-2.17
Be  0.0794  0.5846  0.7514  7 Be 2.09-2.17
V  0.8554  0.8554  0.4338  12 Be 2.48-2.52, 3 V 2.63
V  0.1446  0.1446  0.5662  12 Be 2.48-2.52, 3 V 2.63



VASP calculation (GGA-PBE) on MnBe2V2 after structural relaxation.

* ΔH_f (0 K): -146 meV per atom
* magnetization: 0.0 μB/cell
* DOS at the Fermi energy: 0.416 states/eV per atom
* symmetry: No. 127

Unit cell a=5.8993 b=5.8993 c=3.0303 alpha=90.00 beta=90.00 gamma=90.00
Last column: nearest neighbours and their distance in Å.
Fractional positions:
Be  0.3782  0.8782  0.0000  1 Be 2.03, 2 V 2.26
Be  0.8782  0.6218  0.0000  1 Be 2.03, 2 V 2.26
Be  0.6218  0.1218  0.0000  1 Be 2.03, 2 V 2.26
Be  0.1218  0.3782  0.0000  1 Be 2.03, 2 V 2.26
Mn  0.0000  0.0000  0.0000  4 Be 2.34
Mn  0.5000  0.5000  0.0000  4 Be 2.34
V  0.1774  0.6774  0.5000  6 Be 2.26-2.35
V  0.6774  0.8226  0.5000  6 Be 2.26-2.35
V  0.8226  0.3226  0.5000  6 Be 2.26-2.35
V  0.3226  0.1774  0.5000  6 Be 2.26-2.35